Tb5TcHg2 PBE optimized geometry; magnetization = 0.000 μB/cell; E_tot = -4.5325 eV/atom; calculated formation energy = -267 meV/atom
1.0
6.9836 0.0000 0.0000
0.0000 12.2086 0.0000
0.0000 0.0000 4.9786
Tb Tc Hg
10 2 4
direct
0.0000 0.0000 0.0000
0.1359 0.2908 0.0000
0.1728 0.5878 0.5000
0.3272 0.0878 0.5000
0.3641 0.7908 0.0000
0.5000 0.5000 0.0000
0.6359 0.2092 0.0000
0.6728 0.9122 0.5000
0.8272 0.4122 0.5000
0.8641 0.7092 0.0000
0.0000 0.5000 0.0000
0.5000 0.0000 0.0000
0.0968 0.8430 0.5000
0.4032 0.3430 0.5000
0.5968 0.6570 0.5000
0.9032 0.1570 0.5000

***

Tb4TcHg PBE optimized geometry; magnetization = 0.000 μB/cell; E_tot = -5.1178 eV/atom; calculated formation energy = -253 meV/atom
1.0
4.2684 -6.3640 0.0000
4.2684 6.3640 0.0000
-1.6999 0.0000 6.0938
Tb Tc Hg
8 2 2
direct
0.0643 0.7243 0.9592
0.2043 0.3641 0.5937
0.2757 0.9357 0.5408
0.3641 0.2043 0.0937
0.6359 0.7957 0.9063
0.7243 0.0643 0.4592
0.7957 0.6359 0.4063
0.9357 0.2757 0.0408
0.0012 0.9988 0.7500
0.9988 0.0012 0.2500
0.3729 0.6271 0.2500
0.6271 0.3729 0.7500

***

Tb5Tc2Hg PBE optimized geometry; magnetization = 0.006 μB/cell; E_tot = -5.6842 eV/atom; calculated formation energy = -161 meV/atom
1.0
-3.8158 3.8158 7.1073
3.8158 -3.8158 7.1073
3.8158 3.8158 -7.1073
Tb Tc Hg
10 4 2
direct
0.0000 0.0000 0.0000
0.0365 0.5365 0.8481
0.1884 0.0365 0.5000
0.3116 0.8116 0.8481
0.4635 0.3116 0.5000
0.5000 0.5000 0.0000
0.5365 0.6884 0.5000
0.6884 0.1884 0.1519
0.8116 0.9635 0.5000
0.9635 0.4635 0.1519
0.1160 0.3840 0.5000
0.3840 0.8840 0.2679
0.6160 0.1160 0.7321
0.8840 0.6160 0.5000
0.2500 0.2500 0.0000
0.7500 0.7500 0.0000

***

Tb8TcHg2 PBE optimized geometry; magnetization = 0.000 μB/cell; E_tot = -4.5603 eV/atom; calculated formation energy = -196 meV/atom
1.0
8.7706 -2.6644 0.0000
8.7706 2.6644 0.0000
-2.2766 0.0000 6.5714
Tb Tc Hg
8 1 2
direct
0.0225 0.0225 0.2896
0.1956 0.1956 0.7903
0.3452 0.3452 0.5462
0.4085 0.4085 0.0738
0.5915 0.5915 0.9262
0.6548 0.6548 0.4538
0.8044 0.8044 0.2097
0.9775 0.9775 0.7104
0.5000 0.5000 0.5000
0.1840 0.1840 0.2084
0.8160 0.8160 0.7916

***

| no. | V (Å³/f.u.) |
| --- | --- |
| 1 | 212.2 |
| 2 | 165.5 |
| 3 | 207.0 |
| 4 | 307.1 |